Density functional theory data (GGA-PBEsol) for a relaxed AlTc3Ir crystal. Values from VASP.

Geometry as Quantum ESPRESSO input:
```
&SYSTEM
  ibrav = 0, nat = 5, ntyp = 3
/
ATOMIC_SPECIES
Tc 98.00 Tc.upf
Ir 192.22 Ir.upf
Al 26.98 Al.upf
ATOMIC_POSITIONS crystal
Tc 0.500 0.000 0.000
Tc 0.000 0.000 0.500
Ir 0.500 0.500 0.500
Tc 0.000 0.500 0.000
Al 0.000 0.000 0.000
CELL_PARAMETERS angstrom
4.290 0.000 0.000
0.000 4.290 0.000
0.000 0.000 4.290
```

Calculated values
- formation enthalpy at 0 K (eV per atom) = 1.551
- M_tot (μB per formula unit) = 0.00
- mass density (Mg/m³) = 10.80